# K3ZnNi | the Alexandria database | GGA-PBEsol | optimized geometry
data_K3ZnNi
_chemical_formula_sum 'K3 Zn1 Ni1'
_cell_length_a 5.950
_cell_length_b 5.950
_cell_length_c 5.950
_cell_angle_alpha 90.00
_cell_angle_beta 90.00
_cell_angle_gamma 90.00
_space_group_name_H-M_alt 'P m -3 m'
_space_group_IT_number 221
_space_group_name_Hall '-P 4 2 3'
loop_
_atom_site_label
_atom_site_type_symbol
_atom_site_fract_x
_atom_site_fract_y
_atom_site_fract_z
K1 K 0.000 0.000 0.500
Zn1 Zn 0.500 0.500 0.500
Ni1 Ni 0.000 0.000 0.000
# Density in Mg/m³: 1.90
# DOS(E_F) in states/eV/f.u.: 6.08
# Calculated total energy in eV/cell: -7.68